Material: CeAl3AgPd
Method: DFT, PBE-GGA
State: optimized geometry

POSCAR file:
```
CeAl3AgPd
1.0
2.976 -6.696 0.000
2.976 6.696 0.000
0.000 0.000 5.919
Ce Al Ag Pd
2 6 2 2
direct
0.204 0.796 0.750 Ce
0.796 0.204 0.250 Ce
0.218 0.218 0.000 Al
0.218 0.218 0.500 Al
0.372 0.628 0.250 Al
0.628 0.372 0.750 Al
0.782 0.782 0.000 Al
0.782 0.782 0.500 Al
0.159 0.841 0.250 Ag
0.841 0.159 0.750 Ag
0.407 0.593 0.750 Pd
0.593 0.407 0.250 Pd
```

Output
For the formation energy, the calculation gives -0.3531 eV per atom. Its space group is No. 63. For the density of states at the Fermi level, the calculation gives 15.59 states/eV per cell. The size of the total moment comes out at 0.99 μB/f.u.